Record 1
Material: Cr2SbPt
Method: DFT, PBE
State: relaxed

Computed properties:
E_form (uncorrected)   137.2 meV/atom

```
data_Cr2SbPt
_symmetry_space_group_name_H-M 'C m m m'
_symmetry_Int_Tables_number 65
_symmetry_space_group_name_Hall '-C 2 2'
_cell_length_a 5.5851
_cell_length_b 7.4842
_cell_length_c 3.0932
_cell_angle_alpha 90.00
_cell_angle_beta 90.00
_cell_angle_gamma 90.00
loop_
_atom_site_label
_atom_site_type_symbol
_atom_site_fract_x
_atom_site_fract_y
_atom_site_fract_z
Cr1 Cr 0.2500 0.2500 0.0000
Sb1 Sb 0.0000 0.0000 0.5000
Pt1 Pt 0.0000 0.5000 0.5000
```



Record 2
Material: TiNb2GaH
Method: DFT, PBE
State: relaxed

Computed properties:
Offset from the most stable computed form   109 meV per atom

```
data_TiNb2GaH
_symmetry_space_group_name_H-M 'P 4 m m'
_symmetry_Int_Tables_number 99
_symmetry_space_group_name_Hall 'P 4 -2'
_cell_length_a 3.9563
_cell_length_b 3.9563
_cell_length_c 4.5693
_cell_angle_alpha 90.00
_cell_angle_beta 90.00
_cell_angle_gamma 90.00
loop_
_atom_site_label
_atom_site_type_symbol
_atom_site_fract_x
_atom_site_fract_y
_atom_site_fract_z
Ti1 Ti 0.0000 0.0000 0.0000
Nb1 Nb 0.0000 0.5000 0.5000
Ga1 Ga 0.5000 0.5000 0.0004
H1 H 0.5000 0.5000 0.5012
```



Record 3
Material: Al2CrSe
Method: DFT, PBE
State: relaxed

Computed properties:
E_form (uncorrected)   12.3 meV/atom
Offset from the most stable computed form   43 meV per atom

```
data_Al2CrSe
_symmetry_space_group_name_H-M 'A m m 2'
_symmetry_Int_Tables_number 38
_symmetry_space_group_name_Hall 'A 2 -2'
_cell_length_a 4.1288
_cell_length_b 3.2484
_cell_length_c 9.5464
_cell_angle_alpha 90.00
_cell_angle_beta 90.00
_cell_angle_gamma 90.00
loop_
_atom_site_label
_atom_site_type_symbol
_atom_site_fract_x
_atom_site_fract_y
_atom_site_fract_z
Al1 Al 0.0000 0.0000 0.0000
Al2 Al 0.5000 0.0000 0.3258
Cr1 Cr 0.5000 0.0000 0.5928
Se1 Se 0.0000 0.0000 0.7323
```



Record 4
Material: Mn2Pt6Rh
Method: DFT, PBE
State: relaxed

Computed properties:
Calculated formation energy   -17.3 kJ per mole of atoms

```
data_Mn2Pt6Rh
_symmetry_space_group_name_H-M 'P -6 2 m'
_symmetry_Int_Tables_number 189
_symmetry_space_group_name_Hall 'P -6 -2'
_cell_length_a 7.5248
_cell_length_b 7.5248
_cell_length_c 2.7940
_cell_angle_alpha 90.00
_cell_angle_beta 90.00
_cell_angle_gamma 120.00
loop_
_atom_site_label
_atom_site_type_symbol
_atom_site_fract_x
_atom_site_fract_y
_atom_site_fract_z
Mn1 Mn 0.3333 0.6667 0.0000
Pt1 Pt 0.0000 0.3055 0.0000
Pt2 Pt 0.0000 0.6296 0.5000
Rh1 Rh 0.0000 0.0000 0.5000
```



Record 5
Material: TaNbAl2
Method: DFT, PBE
State: relaxed

Computed properties:
Offset from the most stable computed form   613 meV per atom
Calculated formation energy   33.9 kJ per mole of atoms

```
data_TaNbAl2
_symmetry_space_group_name_H-M 'C 1 2/m 1'
_symmetry_Int_Tables_number 12
_symmetry_space_group_name_Hall '-C 2y'
_cell_length_a 6.4598
_cell_length_b 3.5880
_cell_length_c 6.6551
_cell_angle_alpha 90.00
_cell_angle_beta 107.37
_cell_angle_gamma 90.00
loop_
_atom_site_label
_atom_site_type_symbol
_atom_site_fract_x
_atom_site_fract_y
_atom_site_fract_z
Ta1 Ta 0.0000 0.0000 0.0000
Nb1 Nb 0.0000 0.5000 0.5000
Al1 Al 0.2494 0.0000 0.7483
```



Record 6
Material: NaLa12Sn4N3
Method: DFT, PBE
State: relaxed

Computed properties:
E_form (uncorrected)   -641.0 meV/atom

```
data_NaLa12Sn4N3
_symmetry_space_group_name_H-M 'I m -3 m'
_symmetry_Int_Tables_number 229
_symmetry_space_group_name_Hall '-I 4 2 3'
_cell_length_a 10.5137
_cell_length_b 10.5137
_cell_length_c 10.5137
_cell_angle_alpha 90.00
_cell_angle_beta 90.00
_cell_angle_gamma 90.00
loop_
_atom_site_label
_atom_site_type_symbol
_atom_site_fract_x
_atom_site_fract_y
_atom_site_fract_z
Na1 Na 0.0000 0.0000 0.0000
La1 La 0.0000 0.0000 0.2791
La2 La 0.0000 0.2500 0.5000
Sn1 Sn 0.2500 0.2500 0.2500
N1 N 0.0000 0.0000 0.5000
```



Record 7
Material: MnVPd5
Method: DFT, PBE
State: relaxed

Computed properties:
Offset from the most stable computed form   0 meV per atom
Calculated formation energy   -9.9 kJ per mole of atoms

```
data_MnVPd5
_symmetry_space_group_name_H-M 'P 4/m m m'
_symmetry_Int_Tables_number 123
_symmetry_space_group_name_Hall '-P 4 2'
_cell_length_a 3.9408
_cell_length_b 3.9408
_cell_length_c 7.1427
_cell_angle_alpha 90.00
_cell_angle_beta 90.00
_cell_angle_gamma 90.00
loop_
_atom_site_label
_atom_site_type_symbol
_atom_site_fract_x
_atom_site_fract_y
_atom_site_fract_z
Mn1 Mn 0.0000 0.0000 0.0000
V1 V 0.5000 0.5000 0.5000
Pd1 Pd 0.0000 0.5000 0.2815
Pd2 Pd 0.5000 0.5000 0.0000
```



Record 8
Material: BaSi2Hg
Method: DFT, PBE
State: relaxed

Computed properties:
E_form (uncorrected)   -78.3 meV/atom

```
data_BaSi2Hg
_symmetry_space_group_name_H-M 'I m m 2'
_symmetry_Int_Tables_number 44
_symmetry_space_group_name_Hall 'I 2 -2'
_cell_length_a 3.8863
_cell_length_b 4.9948
_cell_length_c 11.4710
_cell_angle_alpha 90.00
_cell_angle_beta 90.00
_cell_angle_gamma 90.00
loop_
_atom_site_label
_atom_site_type_symbol
_atom_site_fract_x
_atom_site_fract_y
_atom_site_fract_z
Ba1 Ba 0.0000 0.0000 0.0000
Si1 Si 0.0000 0.0000 0.6296
Si2 Si 0.0000 0.5000 0.2509
Hg1 Hg 0.0000 0.5000 0.7955
```



Copy entry 6 word for word.
Material: NaLa12Sn4N3
Method: DFT, PBE
State: relaxed

Computed properties:
E_form (uncorrected)   -641.0 meV/atom

```
data_NaLa12Sn4N3
_symmetry_space_group_name_H-M 'I m -3 m'
_symmetry_Int_Tables_number 229
_symmetry_space_group_name_Hall '-I 4 2 3'
_cell_length_a 10.5137
_cell_length_b 10.5137
_cell_length_c 10.5137
_cell_angle_alpha 90.00
_cell_angle_beta 90.00
_cell_angle_gamma 90.00
loop_
_atom_site_label
_atom_site_type_symbol
_atom_site_fract_x
_atom_site_fract_y
_atom_site_fract_z
Na1 Na 0.0000 0.0000 0.0000
La1 La 0.0000 0.0000 0.2791
La2 La 0.0000 0.2500 0.5000
Sn1 Sn 0.2500 0.2500 0.2500
N1 N 0.0000 0.0000 0.5000
```